Material: Np3Ge5Se12
Method: DFT, GGA-PBE
State: relaxed

Summary:
Formation energy without anion corrections = -0.5381 eV/atom

Lattice parameters (Å, degrees): 14.0028 14.0028 14.0028 109.47 109.47 109.47
Sites, in units of the cell vectors:
1 Se 0.0905 0.9142 0.1319
2 Se 0.4142 0.2824 0.3237
3 Se 0.6763 0.4586 0.5905
4 Se 0.0414 0.6319 0.7176
5 Se 0.5858 0.7176 0.6763
6 Se 0.0905 0.1763 0.4586
7 Se 0.5414 0.3237 0.9095
8 Se 0.3681 0.4095 0.0858
9 Se 0.9095 0.8237 0.5414
10 Se 0.5858 0.8681 0.4095
11 Se 0.4142 0.1319 0.5905
12 Se 0.9142 0.8237 0.7824
13 Se 0.7824 0.3237 0.9142
14 Se 0.4095 0.0414 0.3237
15 Se 0.2176 0.5414 0.6319
16 Se 0.6319 0.5905 0.9142
17 Se 0.1319 0.4142 0.0905
18 Se 0.8681 0.5858 0.9095
19 Se 0.4095 0.3681 0.5858
20 Se 0.5414 0.2176 0.1319
21 Se 0.9586 0.3681 0.2824
22 Se 0.6763 0.2176 0.5858
23 Se 0.5905 0.6319 0.4142
24 Se 0.2176 0.6763 0.0858
25 Se 0.3237 0.7824 0.4142
26 Se 0.0414 0.4095 0.8237
27 Se 0.8681 0.2824 0.4586
28 Se 0.1319 0.7176 0.5414
29 Se 0.9095 0.0858 0.8681
30 Se 0.2824 0.4142 0.8237
31 Se 0.4586 0.6763 0.0905
32 Se 0.9586 0.5905 0.1763
33 Se 0.6319 0.0414 0.2176
34 Se 0.4586 0.7824 0.8681
35 Se 0.8237 0.9142 0.2824
36 Se 0.0858 0.1763 0.2176
37 Se 0.2824 0.8681 0.9586
38 Se 0.1763 0.0858 0.7176
39 Se 0.0858 0.9095 0.3681
40 Se 0.3237 0.5414 0.4095
41 Se 0.1763 0.0905 0.9586
42 Se 0.7176 0.5858 0.1763
43 Se 0.8237 0.9095 0.0414
44 Se 0.3681 0.9586 0.7824
45 Se 0.7176 0.1319 0.0414
46 Se 0.9142 0.0905 0.6319
47 Se 0.5905 0.9586 0.6763
48 Se 0.7824 0.4586 0.3681
49 Ge 0.8750 0.6250 0.7500
50 Ge 0.0000 0.0000 0.5000
51 Ge 0.8750 0.2500 0.6250
52 Ge 0.5000 0.0000 0.0000
53 Ge 0.2500 0.8750 0.1250
54 Ge 0.0000 0.0000 0.0000
55 Ge 0.5000 0.5000 0.5000
56 Ge 0.5000 0.5000 0.0000
57 Ge 0.7500 0.1250 0.8750
58 Ge 0.0000 0.5000 0.0000
59 Ge 0.5000 0.0000 0.5000
60 Ge 0.1250 0.3750 0.2500
61 Ge 0.3750 0.2500 0.1250
62 Ge 0.1250 0.7500 0.3750
63 Ge 0.7500 0.6250 0.3750
64 Ge 0.3750 0.1250 0.7500
65 Ge 0.2500 0.3750 0.6250
66 Ge 0.6250 0.7500 0.8750
67 Ge 0.0000 0.5000 0.5000
68 Ge 0.6250 0.8750 0.2500
69 Np 0.8750 0.7500 0.1250
70 Np 0.3750 0.7500 0.6250
71 Np 0.3750 0.6250 0.2500
72 Np 0.1250 0.2500 0.8750
73 Np 0.6250 0.3750 0.7500
74 Np 0.6250 0.2500 0.3750
75 Np 0.7500 0.8750 0.6250
76 Np 0.2500 0.6250 0.8750
77 Np 0.1250 0.8750 0.7500
78 Np 0.8750 0.1250 0.2500
79 Np 0.7500 0.3750 0.1250
80 Np 0.2500 0.1250 0.3750